DFT (PBE-GGA) results for a relaxed CuAg2SnO crystal.

abc: 5.195 5.195 3.485
angles: 90.00 90.00 90.00
Element x y z (fractional)
Cu (0.000, 0.000, 0.000)
Ag (0.000, 0.500, 0.000)
Ag (0.500, 0.000, 0.000)
Sn (0.500, 0.500, 0.500)
O (0.000, 0.000, 0.500)

Properties
energy	-18.42	eV/cell
space-group type	P4/mmm, No. 123
M_tot	0.00	μB/cell
uncorrected formation energy	7	kJ per mole of atoms